Entry 1:
VASP calculation (GGA-PBE) on a relaxed structure of HfRe2Pd.

electronic total energy = -40.21 eV per cell
mass density = 16.8 Mg/m³

Lattice parameters (Å, degrees): 4.5123 4.5123 4.5123 60.00 60.00 60.00
Fractional coordinates of all 4 atoms:
1 Re 0.0000 0.0000 0.0000
2 Re 0.2500 0.2500 0.2500
3 Hf 0.5000 0.5000 0.5000
4 Pd 0.7500 0.7500 0.7500

Entry 2:
VASP calculation (GGA-PBE) on a relaxed structure of Hf2RePd.

electronic total energy = -238.23 eV per cell
mass density = 15.2 Mg/m³

Lattice parameters (Å, degrees): 4.6521 6.5724 13.9578 90.00 90.00 90.00
Fractional coordinates of all 24 atoms:
1 Hf 0.0000 0.7500 0.1667
2 Hf 0.5000 0.7500 0.3333
3 Hf 0.5000 0.7500 0.6667
4 Re 0.5000 0.5000 0.5000
5 Hf 0.0000 0.2500 0.8333
6 Pd 0.4999 0.0000 0.1667
7 Hf 0.5000 0.2500 0.3333
8 Hf 0.5000 0.2500 0.0000
9 Pd 0.0000 0.5000 0.0000
10 Pd 0.5001 0.0000 0.8333
11 Pd 0.0000 0.5000 0.3333
12 Re 0.0000 0.0000 0.6667
13 Re 0.5000 0.5000 0.8333
14 Hf 0.5000 0.2500 0.6667
15 Hf 0.5000 0.7500 0.0000
16 Re 0.0000 0.0000 0.0000
17 Re 0.5000 0.5000 0.1667
18 Re 0.0000 0.0000 0.3333
19 Hf 0.0000 0.2500 0.5000
20 Hf 0.0000 0.7500 0.5000
21 Pd 0.5000 0.0000 0.5000
22 Hf 0.0000 0.2500 0.1667
23 Pd 0.0000 0.5000 0.6667
24 Hf 0.0000 0.7500 0.8333